# 1
Below is crystalline BeGeSe3 at its relaxed geometry, with properties calculated at the GGA-PBE level.

Summary:
**V**: 99.08 Å³ per cell
**DFT total energy**: -3.55 eV per atom
**Magnetization**: 0.00 μB/f.u.

abc: 4.627 4.627 4.627
angles: 90.00 90.00 90.00
Space group Pm-3m (No. 221)
Unique sites:
Be 0.000 0.000 0.000 [1 per cell]
Ge 0.500 0.500 0.500 [1 per cell]
Se 0.000 0.000 0.500 [3 per cell]



# 2
Below is crystalline BeGeSe at its relaxed geometry, with properties calculated at the GGA-PBE level.

Summary:
**V**: 132.21 Å³ per cell
**DFT total energy**: -4.12 eV per atom
**Magnetization**: 0.00 μB/f.u.

abc: 6.001 3.636 6.094
angles: 90.00 96.20 90.00
Space group Pm (No. 6)
Unique sites:
Be 0.000 0.000 0.000 [1 per cell]
Be 0.069 0.500 0.563 [1 per cell]
Ge 0.316 0.500 0.879 [1 per cell]
Ge 0.422 0.000 0.177 [1 per cell]
Se 0.042 0.000 0.361 [1 per cell]
Se 0.842 0.500 0.838 [1 per cell]



# 3
Below is crystalline BeGeSe at its relaxed geometry, with properties calculated at the GGA-PBE level.

Summary:
**V**: 128.26 Å³ per cell
**DFT total energy**: -4.13 eV per atom
**Magnetization**: 0.00 μB/f.u.

abc: 5.915 3.773 6.325
angles: 90.00 114.66 90.00
Space group Pm (No. 6)
Unique sites:
Be 0.000 0.000 0.000 [1 per cell]
Be 0.245 0.500 0.594 [1 per cell]
Ge 0.626 0.500 0.908 [1 per cell]
Ge 0.689 0.000 0.188 [1 per cell]
Se 0.048 0.500 0.836 [1 per cell]
Se 0.171 0.000 0.388 [1 per cell]



# 4
Below is crystalline BeGeSe at its relaxed geometry, with properties calculated at the GGA-PBE level.

Summary:
**V**: 144.56 Å³ per cell
**DFT total energy**: -4.13 eV per atom
**Magnetization**: 0.00 μB/f.u.

abc: 5.823 3.749 7.080
angles: 90.00 110.71 90.00
Space group Pm (No. 6)
Unique sites:
Be 0.000 0.000 0.000 [1 per cell]
Be 0.282 0.500 0.936 [1 per cell]
Ge 0.612 0.000 0.024 [1 per cell]
Ge 0.612 0.500 0.268 [1 per cell]
Se 0.148 0.500 0.197 [1 per cell]
Se 0.152 0.000 0.747 [1 per cell]



One value per record, in order, for formation energy from raw total energies: 0.211, -0.180, -0.187, -0.186 eV/atom.